First-principles (PBE) data for a relaxed structure of Er3NiRu, as listed in Alexandria via LeMat-Bulk.

abc: 4.005 6.677 8.491
angles: 90.00 90.00 90.00
Element x y z (fractional)
Er 0.250 0.012 0.169
Er 0.250 0.250 0.544
Er 0.250 0.488 0.169
Er 0.750 0.512 0.831
Er 0.750 0.750 0.456
Er 0.750 0.988 0.831
Ni 0.250 0.250 0.886
Ni 0.750 0.750 0.114
Ru 0.250 0.750 0.682
Ru 0.750 0.250 0.318

Output
* ΔE_f: -0.297 eV/atom
* size of the total moment: 0.0 μB per formula unit